{"formula": "Ba2Al4CuIr", "functional": "PBE", "state": "optimized geometry", "sg": "Amm2, No. 38", "e_tot_ev_per_atom": -4.349, "cell": [[-1.338, -1.253, -7.119], [-5.269, -3.475, 1.601], [-6.392, 0.578, 1.099]], "species": ["Al", "Al", "Al", "Al", "Ba", "Ba", "Cu", "Ir"], "frac_coords": [[0.314, 0.190, 0.190], [0.686, 0.190, 0.190], [0.187, 0.813, 0.813], [0.813, 0.813, 0.813], [0.500, 0.457, 0.457], [0.000, 0.542, 0.542], [0.000, 0.274, 0.274], [0.500, 0.721, 0.721]]}